VASP calculation (PBE-GGA) on crystalline Ce3Hg2Ir at its relaxed geometry.

Lattice parameters (Å, degrees): 5.9733 7.8635 8.2015 103.84 111.36 90.00
With the nearest neighbours (Å) after each atom.
Element x y z (fractional)
Ir 0.0001 0.7500 0.0000  6 Ce 2.75-2.99
Ir 0.9999 0.2500 0.0000  6 Ce 2.75-2.99
Ce 0.4999 0.2500 0.0000  2 Ir 2.99
Ce 0.1307 0.0651 0.2613  2 Ir 2.75
Ce 0.5001 0.7500 0.0000  2 Ir 2.99
Ce 0.1306 0.5651 0.2613  2 Ir 2.75
Ce 0.8694 0.4349 0.7387  2 Ir 2.75
Ce 0.8693 0.9349 0.7387  2 Ir 2.75
Hg 0.3078 0.4034 0.6155  6 Ce 3.12-3.46
Hg 0.3077 0.9034 0.6155  6 Ce 3.12-3.46
Hg 0.6922 0.5966 0.3845  6 Ce 3.12-3.46
Hg 0.6923 0.0966 0.3845  6 Ce 3.12-3.46

Calculated values
VASP energy	-4.925	eV/atom
spin magnetization	0.4980	μB per atom
SG	Immm